No. 1
The following is a DFT calculation (PBE) of a geometry-optimized BaMg2InRh structure.

Structure (POSCAR):
```
BaMg2InRh
1.0
5.122 0.000 0.000
0.000 5.122 0.000
0.000 0.000 5.231
Ba Mg In Rh
1 2 1 1
Cartesian
0.000 0.000 0.000
0.000 2.561 2.616
2.561 0.000 2.616
2.561 2.561 0.000
2.561 2.561 2.616
```

Computed properties:
total DFT energy (no corrections): -3.406 eV/atom

***

No. 2
The following is a DFT calculation (PBE) of a geometry-optimized TiReN3 structure.

Structure (POSCAR):
```
TiReN3
1.0
6.083 -1.511 0.000
6.083 1.511 0.000
-2.912 0.000 5.907
Ti Re N
2 2 6
Cartesian
0.807 0.000 1.928
8.447 0.000 3.979
3.726 0.000 1.133
5.528 0.000 4.775
-1.574 0.000 3.645
1.766 0.000 0.185
2.621 0.000 2.820
6.634 0.000 3.088
7.488 0.000 5.722
10.829 0.000 2.262
```

Computed properties:
total DFT energy (no corrections): -9.368 eV/atom
formation energy from raw total energies: -304 meV per atom

***

No. 3
The following is a DFT calculation (PBE) of a geometry-optimized La2Cd2W structure.

Structure (POSCAR):
```
La2Cd2W
1.0
-3.046 3.046 4.050
3.046 -3.046 4.050
3.046 3.046 -4.050
La Cd W
2 2 1
Cartesian
3.046 0.000 2.025
0.000 3.046 2.025
0.000 0.000 1.300
0.000 0.000 6.800
0.000 0.000 4.050
```

Computed properties:
total DFT energy (no corrections): -4.186 eV/atom

***

What is the formula in the second record? TiReN3

***

Which of these has the highest total DFT energy (no corrections)? BaMg2InRh